Ce2Mg6Ru after structural relaxation, computed with GGA-PBE.

Output
Calculated formation energy: -0.016 eV/atom

a b c (Å): 3.2364 8.9873 8.9873
angles (deg): 123.59 85.33 85.33
Fractional coordinates of all 9 atoms:
1 Mg 0.1631 0.4811 0.8202
2 Ru 0.0000 0.0000 0.0000
3 Mg 0.8369 0.5189 0.1798
4 Mg 0.8369 0.1798 0.5189
5 Ce 0.5000 0.1394 0.8606
6 Mg 0.6416 0.6929 0.6929
7 Mg 0.1631 0.8202 0.4811
8 Mg 0.3584 0.3071 0.3071
9 Ce 0.5000 0.8606 0.1394

=====

SnB3Rh after structural relaxation, computed with GGA-PBE.

Output
Calculated formation energy: 1.067 eV/atom

a b c (Å): 4.1653 4.1653 4.1653
angles (deg): 90.00 90.00 90.00
Fractional coordinates of all 5 atoms:
1 Rh 0.0000 0.0000 0.0000
2 B 0.0000 0.0000 0.5000
3 B 0.0000 0.5000 0.0000
4 B 0.5000 0.0000 0.0000
5 Sn 0.5000 0.5000 0.5000

=====

Zr2ScH6 after structural relaxation, computed with GGA-PBE.

Output
Total DFT energy (no corrections): -49.135 eV/f.u.

a b c (Å): 3.3399 4.8565 5.8333
angles (deg): 114.60 106.28 90.00
Fractional coordinates of all 9 atoms:
1 Sc 0.0000 0.0000 0.0000
2 Zr 0.3342 0.3336 0.6673
3 H 0.1663 0.4149 0.3330
4 H 0.8337 0.0820 0.6670
5 H 0.5000 0.7492 0.0000
6 H 0.5000 0.2508 0.0000
7 H 0.8337 0.5851 0.6670
8 H 0.1663 0.9180 0.3330
9 Zr 0.6658 0.6664 0.3327

=====

Ca2C after structural relaxation, computed with GGA-PBE.

Output
Calculated formation energy: 0.561 eV/atom

a b c (Å): 5.4501 5.4501 5.4501
angles (deg): 109.14 109.14 110.14
Fractional coordinates of all 6 atoms:
1 Ca 0.7706 0.7294 0.5000
2 Ca 0.7294 0.2294 0.9588
3 C 0.2500 0.2500 0.0000
4 Ca 0.2294 0.2706 0.5000
5 Ca 0.2706 0.7706 0.0412
6 C 0.7500 0.7500 0.0000

=====

NaNiB after structural relaxation, computed with GGA-PBE.

Output
Calculated formation energy: 0.090 eV/atom

a b c (Å): 3.3024 4.6749 5.3844
angles (deg): 90.00 108.51 90.00
Fractional coordinates of all 6 atoms:
1 Na 0.2329 0.7500 0.4695
2 Ni 0.0249 0.2500 0.0501
3 Na 0.7671 0.2500 0.5305
4 B 0.5000 0.5000 0.0000
5 Ni 0.9751 0.7500 0.9499
6 B 0.5000 0.0000 0.0000

=====

ScTc2W after structural relaxation, computed with GGA-PBE.

Output
Calculated formation energy: 0.171 eV/atom

a b c (Å): 2.8320 4.4328 5.2071
angles (deg): 90.00 90.00 90.00
Fractional coordinates of all 4 atoms:
1 W 0.0000 0.0000 0.4814
2 Tc 0.5000 0.5000 0.2678
3 Tc 0.0000 0.0000 0.9811
4 Sc 0.5000 0.5000 0.7696

=====

Cr3CuRe after structural relaxation, computed with GGA-PBE.

Output
Calculated formation energy: 1.658 eV/atom

a b c (Å): 4.3676 4.3676 4.3676
angles (deg): 90.00 90.00 90.00
Fractional coordinates of all 5 atoms:
1 Cr 0.0000 0.5000 0.0000
2 Cr 0.0000 0.0000 0.5000
3 Cr 0.5000 0.0000 0.0000
4 Re 0.5000 0.5000 0.5000
5 Cu 0.0000 0.0000 0.0000

=====

RbHf3Rh after structural relaxation, computed with GGA-PBE.

Output
Calculated formation energy: 0.561 eV/atom

a b c (Å): 5.1618 5.1618 5.1618
angles (deg): 90.00 90.00 90.00
Fractional coordinates of all 5 atoms:
1 Rh 0.0000 0.0000 0.0000
2 Rb 0.5000 0.5000 0.5000
3 Hf 0.0000 0.0000 0.5000
4 Hf 0.5000 0.0000 0.0000
5 Hf 0.0000 0.5000 0.0000

=====

Question: What is the formula in the third record?
Answer: Zr2ScH6

=====

Please write out number 1 again, unchanged.
Ce2Mg6Ru after structural relaxation, computed with GGA-PBE.

Output
Calculated formation energy: -0.016 eV/atom

a b c (Å): 3.2364 8.9873 8.9873
angles (deg): 123.59 85.33 85.33
Fractional coordinates of all 9 atoms:
1 Mg 0.1631 0.4811 0.8202
2 Ru 0.0000 0.0000 0.0000
3 Mg 0.8369 0.5189 0.1798
4 Mg 0.8369 0.1798 0.5189
5 Ce 0.5000 0.1394 0.8606
6 Mg 0.6416 0.6929 0.6929
7 Mg 0.1631 0.8202 0.4811
8 Mg 0.3584 0.3071 0.3071
9 Ce 0.5000 0.8606 0.1394